VASP calculation (PBE) on crystalline LiMgRh4 at its relaxed geometry.

Calculated values
The formation energy is -0.0747 eV/atom. The calculation puts the density of states at the Fermi level at 1.56 states/eV per atom. As for the space-group type: F-43m.

Unit cell a=5.148 b=5.148 c=5.148 alpha=60.00 beta=60.00 gamma=60.00
Positions (direct):
Rh1 0.375 0.375 0.875
Rh2 0.375 0.875 0.375
Rh3 0.375 0.375 0.375
Rh4 0.875 0.375 0.375
Li1 0.750 0.750 0.750
Mg1 0.000 0.000 0.000